The following is a GGA+U calculation of an optimized crystal structure of Sr2FeReO6, from Alexandria via LeMat-Bulk.

CIF file:
```
data_Sr2FeReO6
_cell_length_a 5.678
_cell_length_b 5.678
_cell_length_c 3.932
_cell_angle_alpha 90.00
_cell_angle_beta 90.00
_cell_angle_gamma 90.00
_symmetry_space_group_name_H-M 'P 4/m m m'
_symmetry_Int_Tables_number 123
_symmetry_space_group_name_Hall '-P 4 2'
loop_
_atom_site_label
_atom_site_fract_x
_atom_site_fract_y
_atom_site_fract_z
Sr1 0.000 0.500 0.000
Fe1 0.000 0.000 0.500
Re1 0.500 0.500 0.500
O1 0.000 0.000 0.000
O2 0.256 0.256 0.500
O3 0.500 0.500 0.000
```

Output
* density of states at the Fermi level: 0.32 states/eV per atom
* uncorrected energy: -72.5 eV per cell
* total moment: 3.97 μB/f.u.